Entry 1:
First-principles (GGA-PBE) data for a relaxed structure of MnNb2OsS, as listed in Alexandria.

Cell lengths 4.514, 4.514, 4.268 Å; angles 90.00, 90.00, 90.00 degrees
Space group P4/mmm (No. 123)
Symmetry-distinct sites (fractional):
Mn 0.000 0.000 0.000 [1 per cell]
Nb 0.000 0.500 0.500 [2 per cell]
Os 0.500 0.500 0.000 [1 per cell]
S 0.500 0.500 0.500 [1 per cell]

Calculated values
Electronic total energy ... -8.2171 eV/atom
Raw formation energy ... 716 meV per atom

---

Entry 2:
First-principles (GGA-PBE) data for a relaxed structure of TaMnNbOs, as listed in Alexandria.

Cell lengths 6.282, 6.282, 6.282 Å; angles 90.00, 90.00, 90.00 degrees
Space group F-43m (No. 216)
Symmetry-distinct sites (fractional):
Ta 0.000 0.000 0.000 [4 per cell]
Mn 0.250 0.250 0.750 [4 per cell]
Nb 0.000 0.000 0.500 [4 per cell]
Os 0.250 0.250 0.250 [4 per cell]

Calculated values
Electronic total energy ... -10.7933 eV/atom
Energy relative to the elements ... -212.9 meV/atom

---

Entry 3:
First-principles (GGA-PBE) data for a relaxed structure of MnNbTcOs, as listed in Alexandria.

Cell lengths 6.226, 6.226, 6.226 Å; angles 90.00, 90.00, 90.00 degrees
Space group F-43m (No. 216)
Symmetry-distinct sites (fractional):
Mn 0.000 0.000 0.000 [4 per cell]
Nb 0.000 0.000 0.500 [4 per cell]
Tc 0.250 0.250 0.750 [4 per cell]
Os 0.250 0.250 0.250 [4 per cell]

Calculated values
Electronic total energy ... -10.2774 eV/atom
Energy relative to the elements ... -68.6 meV/atom

---

Entry 4:
First-principles (GGA-PBE) data for a relaxed structure of TiMnNbOs, as listed in Alexandria.

Cell lengths 6.188, 6.188, 6.188 Å; angles 90.00, 90.00, 90.00 degrees
Space group F-43m (No. 216)
Symmetry-distinct sites (fractional):
Ti 0.000 0.000 0.000 [4 per cell]
Mn 0.250 0.250 0.750 [4 per cell]
Nb 0.000 0.000 0.500 [4 per cell]
Os 0.250 0.250 0.250 [4 per cell]

Calculated values
Electronic total energy ... -9.9712 eV/atom
Energy relative to the elements ... -380.2 meV/atom
Energy above the lowest structure with this stoichiometry ... 0 meV per atom

---

Entry 5:
First-principles (GGA-PBE) data for a relaxed structure of TiMnNbOs, as listed in Alexandria.

Cell lengths 3.087, 3.087, 6.180 Å; angles 90.00, 90.00, 90.00 degrees
Space group P4mm (No. 99)
Symmetry-distinct sites (fractional):
Ti 0.000 0.000 0.000 [1 per cell]
Mn 0.500 0.500 0.238 [1 per cell]
Nb 0.000 0.000 0.480 [1 per cell]
Os 0.500 0.500 0.749 [1 per cell]

Calculated values
Electronic total energy ... -9.9657 eV/atom
Energy relative to the elements ... -374.7 meV/atom
Energy above the lowest structure with this stoichiometry ... 6 meV per atom

---

Entry 6:
First-principles (GGA-PBE) data for a relaxed structure of Ti5MnNb2Os2, as listed in Alexandria.

Cell lengths 10.466, 10.466, 3.025 Å; angles 90.00, 90.00, 90.00 degrees
Space group P4/mbm (No. 127)
Symmetry-distinct sites (fractional):
Ti 0.000 0.500 0.000 [2 per cell]
Ti 0.043 0.189 0.000 [8 per cell]
Mn 0.000 0.000 0.500 [2 per cell]
Nb 0.182 0.682 0.500 [4 per cell]
Os 0.141 0.359 0.500 [4 per cell]

Calculated values
Electronic total energy ... -9.2357 eV/atom
Energy relative to the elements ... -111.4 meV/atom